Entry 1:
Computed, not measured: an optimized crystal structure of Pr6SnPt2 at the PBE-GGA level of DFT.

a b c (Å): 9.672 10.277 10.997
angles (deg): 90.00 90.00 90.00
Space group Immm (No. 71)
Unique sites:
1 Pr 0.000 0.200 0.233 x8
2 Pr 0.195 0.500 0.172 x8
3 Pr 0.208 0.318 0.500 x8
4 Sn 0.000 0.000 0.000 x2
5 Sn 0.000 0.000 0.500 x2
6 Pt 0.000 0.348 0.000 x4
7 Pt 0.000 0.500 0.370 x4

Results
DFT formation energy	-6.056	eV per formula unit
total moment	0.00	μB/f.u.
crystal system	orthorhombic
VASP energy	-5.6464	eV/atom



Entry 2:
Computed, not measured: an optimized crystal structure of Pr2Sn3Pt4 at the PBE-GGA level of DFT.

a b c (Å): 6.222 16.435 7.650
angles (deg): 90.00 90.00 90.00
Space group Cmce (No. 64)
Unique sites:
1 Pr 0.000 0.103 0.093 x8
2 Sn 0.000 0.000 0.500 x4
3 Sn 0.250 0.235 0.750 x8
4 Pt 0.000 0.171 0.476 x8
5 Pt 0.250 0.066 0.750 x8

Results
DFT formation energy	-7.622	eV per formula unit
total moment	0.00	μB/f.u.
crystal system	orthorhombic
VASP energy	-5.9280	eV/atom



Entry 3:
Computed, not measured: an optimized crystal structure of Pr2Sn2Pt15 at the PBE-GGA level of DFT.

a b c (Å): 9.4634 9.4634 13.5051
angles (deg): 90.00 90.00 120.00
Space group R-3m (No. 166, hexagonal axes)
Unique sites:
1 Pr 0.0000 0.0000 0.1467 x6
2 Sn 0.0000 0.0000 0.3960 x6
3 Pt 0.0000 0.3267 0.5000 x18
4 Pt 0.0000 0.5000 0.0000 x9
5 Pt 0.0052 0.5026 0.6635 x18

Results
DFT formation energy	-9.551	eV per formula unit
total moment	0.00	μB/f.u.
crystal system	trigonal
VASP energy	-6.1962	eV/atom



Entry 4:
Computed, not measured: an optimized crystal structure of PrSnPt4 at the PBE-GGA level of DFT.

a b c (Å): 7.739 7.739 7.739
angles (deg): 90.00 90.00 90.00
Space group F-43m (No. 216)
Unique sites:
1 Pr 0.000 0.000 0.000 x4
2 Sn 0.250 0.250 0.750 x4
3 Pt 0.125 0.125 0.375 x16

Results
DFT formation energy	-4.446	eV per formula unit
total moment	0.00	μB/f.u.
crystal system	cubic
offset from the most stable computed form	0.000	eV/atom
VASP energy	-6.2319	eV/atom